Record 1
Below is RbAlHg2B after structural relaxation, with properties calculated at the PBE level.

Summary:
ΔE_f   1563 meV per atom
Space group   P4/mmm (123)

Cell: 6.497 6.497 5.546 Å, 90.00 90.00 90.00°
Sites, in units of the cell vectors:
1 Rb 0.000 0.000 0.000
2 Al 0.500 0.500 0.500
3 Hg 0.000 0.500 0.000
4 Hg 0.500 0.000 0.000
5 B 0.000 0.000 0.500

Record 2
Below is Ac8Ir3Pd3O after structural relaxation, with properties calculated at the PBE level.

Summary:
ΔE_f (raw)   -0.91 eV/atom
Space group   R-3m (166)

Cell: 8.700 8.700 8.700 Å, 59.32 59.32 59.32°
Sites, in units of the cell vectors:
1 Ac 0.246 0.246 0.246
2 Ac 0.255 0.735 0.735
3 Ac 0.265 0.265 0.745
4 Ac 0.265 0.745 0.265
5 Ac 0.735 0.255 0.735
6 Ac 0.735 0.735 0.255
7 Ac 0.745 0.265 0.265
8 Ac 0.754 0.754 0.754
9 Ir 0.000 0.000 0.500
10 Ir 0.000 0.500 0.000
11 Ir 0.500 0.000 0.000
12 Pd 0.000 0.500 0.500
13 Pd 0.500 0.000 0.500
14 Pd 0.500 0.500 0.000
15 O 0.500 0.500 0.500

Record 3
Below is NaFeAsBr2 after structural relaxation, with properties calculated at the PBE level.

Summary:
Energy above the lowest structure with this stoichiometry   0.000 eV per atom
ΔE_f (raw)   -0.26 eV/atom
Space group   P4/mmm (123)

Cell: 5.399 5.399 4.482 Å, 90.00 90.00 90.00°
Sites, in units of the cell vectors:
1 Na 0.000 0.000 0.000
2 Fe 0.500 0.500 0.500
3 As 0.500 0.500 0.000
4 Br 0.000 0.500 0.500
5 Br 0.500 0.000 0.500

Record 4
Below is CaCe2Ga after structural relaxation, with properties calculated at the PBE level.

Summary:
Energy above the lowest structure with this stoichiometry   0.053 eV per atom
ΔE_f   -81 meV per atom
Space group   P4/mmm (123)

Cell: 4.584 4.584 5.053 Å, 90.00 90.00 90.00°
Sites, in units of the cell vectors:
1 Ca 0.000 0.000 0.000
2 Ce 0.000 0.500 0.500
3 Ce 0.500 0.000 0.500
4 Ga 0.500 0.500 0.000

Number 1: calculated total energy -0.84 eV per atom, density 3.720 Mg/m³. Number 2: calculated total energy -6.24 eV per atom, density 9.882 Mg/m³. Number 3: calculated total energy -3.82 eV per atom, density 3.986 Mg/m³. Number 4: calculated total energy -4.30 eV per atom, density 6.099 Mg/m³.